HWC2O | GGA+U | relaxed

Summary:
size of the total moment: 0.00 Bohr magnetons per cell
space-group type: P4/mmm (123)
uncorrected energy: -0.38737 Ry per atom

Cell: 3.014 4.123 3.014 Å, 90.00 90.00 90.00°
Fractional coordinates of all 5 atoms:
H (0.000, 0.000, 0.000)
C (0.000, 0.000, 0.500)
C (0.500, 0.000, 0.000)
O (0.000, 0.500, 0.000)
W (0.500, 0.500, 0.500)